Record 1
# ZrMoPb2

An optimized crystal structure of ZrMoPb2 (PBE, Alexandria).

a b c (Å): 9.7919 3.5864 5.2146
angles (deg): 90.00 102.64 90.00
Space group C2/m (No. 12)
Unique sites:
Zr 0.0000 0.0000 0.0000
Mo 0.0000 0.5000 0.5000
Pb 0.2402 0.0000 0.7348

Results
The value obtained for the polymorph energy (0 for the lowest one) is 172 meV/atom. For the raw total energy, the calculation gives -6.32 eV per atom. The energy relative to the elements is 37.0 kJ per mole of atoms. Its total magnetization is 0.00 μB per atom.

---

Record 2
# ZrMoPb2

An optimized crystal structure of ZrMoPb2 (PBE, Alexandria).

a b c (Å): 3.5616 3.5616 7.5493
angles (deg): 90.00 90.00 90.00
Space group P4mm (No. 99)
Unique sites:
Zr 0.0000 0.0000 0.0000
Mo 0.5000 0.5000 0.1810
Pb 0.0000 0.0000 0.4084
Pb 0.5000 0.5000 0.7474

Results
The value obtained for the polymorph energy (0 for the lowest one) is 0 meV/atom. For the raw total energy, the calculation gives -6.49 eV per atom. The energy relative to the elements is 20.4 kJ per mole of atoms. Its total magnetization is 0.00 μB per atom.

---

In g/cm3, the density values for the records above are, in order, 11.18 10.43.